# 1
{"formula": "RbZnFe2", "functional": "PBE", "state": "optimized geometry", "sg": "I4_1/amd", "formation_enthalpy_0k_mev_per_atom": 949, "lattice": [[-1.861, -2.432, 3.695], [3.495, -3.265, -0.388], [5.884, 1.902, 7.332]], "species": ["Fe", "Zn", "Fe", "Zn", "Rb", "Rb", "Fe", "Fe"], "frac_coords": [[0.375, 0.625, 0.250], [0.250, 0.750, 0.500], [0.375, 0.625, 0.750], [0.500, 0.500, 0.000], [0.750, 0.250, 0.500], [0.000, 0.000, 0.000], [0.375, 0.125, 0.250], [0.875, 0.625, 0.750]]}

# 2
{"formula": "Tc2GeMo", "functional": "PBE", "state": "optimized geometry", "sg": "R3m", "formation_enthalpy_0k_mev_per_atom": 206, "lattice": [[-2.970, 1.005, 2.815], [-3.831, -1.734, -0.269], [-0.972, -3.498, 3.378]], "species": ["Tc", "Tc", "Ge", "Mo"], "frac_coords": [[0.076, 0.076, 0.771], [0.262, 0.262, 0.213], [0.681, 0.681, 0.957], [0.480, 0.480, 0.560]]}

# 3
{"formula": "RbTl2Au", "functional": "PBE", "state": "optimized geometry", "sg": "R-3m", "formation_enthalpy_0k_mev_per_atom": -110, "lattice": [[-4.415, -0.897, -1.021], [-2.669, -2.223, 3.044], [-4.474, 5.789, 3.809]], "species": ["Rb", "Tl", "Tl", "Au"], "frac_coords": [[0.500, 0.500, 0.500], [0.721, 0.721, 0.837], [0.279, 0.279, 0.163], [0.000, 0.000, 0.000]]}

# 4
{"formula": "Pm12PrDy6", "functional": "PBE", "state": "optimized geometry", "sg": "R-3m", "formation_enthalpy_0k_mev_per_atom": 196, "lattice": [[-0.980, -6.921, 5.402], [8.708, -0.556, -1.378], [-0.026, 6.460, 6.026]], "species": ["Pm", "Dy", "Pm", "Pm", "Dy", "Pm", "Pm", "Pm", "Dy", "Dy", "Pm", "Pm", "Pm", "Pr", "Pm", "Dy", "Pm", "Pm", "Dy"], "frac_coords": [[0.355, 0.083, 0.355], [0.099, 0.099, 0.660], [0.917, 0.645, 0.645], [0.500, 0.241, 0.759], [0.901, 0.901, 0.340], [0.645, 0.645, 0.917], [0.241, 0.759, 0.500], [0.500, 0.759, 0.241], [0.660, 0.099, 0.099], [0.340, 0.901, 0.901], [0.083, 0.355, 0.355], [0.759, 0.500, 0.241], [0.759, 0.241, 0.500], [0.000, 0.000, 0.000], [0.355, 0.355, 0.083], [0.099, 0.660, 0.099], [0.241, 0.500, 0.759], [0.645, 0.917, 0.645], [0.901, 0.340, 0.901]]}

# 5
{"formula": "HoErCuAu", "functional": "PBE", "state": "optimized geometry", "sg": "F-43m", "formation_enthalpy_0k_mev_per_atom": -566, "lattice": [[4.979, 0.000, 0.000], [2.490, 4.312, 0.000], [2.490, 1.437, 4.065]], "species": ["Cu", "Er", "Au", "Ho"], "frac_coords": [[0.250, 0.250, 0.250], [0.500, 0.500, 0.500], [0.750, 0.750, 0.750], [0.000, 0.000, 0.000]]}

# 6
{"formula": "AcMg2Cd2In2", "functional": "PBE", "state": "optimized geometry", "sg": "R-3m", "formation_enthalpy_0k_mev_per_atom": -246, "lattice": [[4.929, 0.000, 0.000], [2.465, 4.269, 0.000], [2.465, 1.423, 8.761]], "species": ["Mg", "Mg", "In", "Ac", "In", "Cd", "Cd"], "frac_coords": [[0.860, 0.860, 0.420], [0.140, 0.140, 0.580], [0.742, 0.742, 0.773], [0.000, 0.000, 0.000], [0.258, 0.258, 0.227], [0.433, 0.433, 0.702], [0.567, 0.567, 0.298]]}

# 7
{"formula": "GdDyTl2", "functional": "PBE", "state": "optimized geometry", "sg": "Fm-3m", "formation_enthalpy_0k_mev_per_atom": -360, "lattice": [[5.394, 0.000, 0.000], [2.697, 4.671, 0.000], [2.697, 1.557, 4.404]], "species": ["Tl", "Tl", "Gd", "Dy"], "frac_coords": [[0.750, 0.750, 0.750], [0.250, 0.250, 0.250], [0.000, 0.000, 0.000], [0.500, 0.500, 0.500]]}

# 8
{"formula": "La4Pr9Hg11", "functional": "PBE", "state": "optimized geometry", "sg": "Cmmm", "formation_enthalpy_0k_mev_per_atom": -396, "lattice": [[-0.592, 2.717, 2.463], [-10.093, 5.429, -8.416], [-5.660, -9.416, 9.026]], "species": ["Hg", "Hg", "La", "Pr", "Hg", "Pr", "Hg", "La", "La", "Hg", "La", "Pr", "Hg", "Pr", "Pr", "Pr", "Pr", "Hg", "Pr", "Hg", "Hg", "Pr", "Hg", "Hg"], "frac_coords": [[0.000, 0.948, 0.591], [0.000, 0.777, 0.777], [0.500, 0.743, 0.570], [0.500, 0.617, 0.149], [0.000, 0.821, 0.179], [0.500, 0.024, 0.205], [0.000, 0.000, 0.000], [0.500, 0.430, 0.257], [0.500, 0.570, 0.743], [0.000, 0.591, 0.948], [0.500, 0.257, 0.430], [0.500, 0.795, 0.976], [0.000, 0.635, 0.365], [0.500, 0.149, 0.617], [0.500, 0.500, 0.500], [0.500, 0.205, 0.024], [0.500, 0.383, 0.851], [0.000, 0.223, 0.223], [0.500, 0.851, 0.383], [0.000, 0.409, 0.052], [0.000, 0.365, 0.635], [0.500, 0.976, 0.795], [0.000, 0.179, 0.821], [0.000, 0.052, 0.409]]}

# 9
{"formula": "AuSe2IN", "functional": "PBE", "state": "optimized geometry", "formation_energy_uncorrected_ev_per_atom": 1.444, "sg": "P4/mmm", "lattice": [[5.524, 0.000, 0.000], [0.000, 5.524, 0.000], [0.000, 0.000, 3.904]], "species": ["Se", "Au", "Se", "I", "N"], "frac_coords": [[0.500, 0.000, 0.000], [0.500, 0.500, 0.500], [0.000, 0.500, 0.000], [0.000, 0.000, 0.000], [0.000, 0.000, 0.500]]}

# 10
{"formula": "CaTb2Pr6Tm", "functional": "PBE", "state": "optimized geometry", "sg": "C2/c", "formation_enthalpy_0k_mev_per_atom": 119, "lattice": [[9.334, -2.071, -2.149], [0.926, 8.789, -2.067], [0.926, -2.391, 8.706]], "species": ["Pr", "Tm", "Pr", "Tb", "Tb", "Ca", "Tb", "Pr", "Pr", "Pr", "Pr", "Pr", "Tb", "Pr", "Pr", "Tm", "Pr", "Pr", "Pr", "Ca"], "frac_coords": [[0.316, 0.988, 0.444], [0.750, 0.590, 0.410], [0.816, 0.444, 0.988], [0.546, 0.201, 0.307], [0.454, 0.799, 0.693], [0.250, 0.974, 0.026], [0.954, 0.693, 0.799], [0.382, 0.503, 0.292], [0.882, 0.292, 0.503], [0.118, 0.708, 0.497], [0.946, 0.872, 0.246], [0.684, 0.012, 0.556], [0.046, 0.307, 0.201], [0.554, 0.754, 0.128], [0.184, 0.556, 0.012], [0.250, 0.410, 0.590], [0.446, 0.246, 0.872], [0.054, 0.128, 0.754], [0.618, 0.497, 0.708], [0.750, 0.026, 0.974]]}

# 11
{"formula": "Mg2NiAg", "functional": "PBE", "state": "optimized geometry", "sg": "I-4m2", "formation_enthalpy_0k_mev_per_atom": -99, "lattice": [[-3.841, 3.053, -1.536], [-4.721, -1.966, 0.531], [4.120, 0.526, 3.030]], "species": ["Ni", "Ag", "Mg", "Mg"], "frac_coords": [[0.500, 0.500, 0.000], [0.750, 0.250, 0.500], [0.250, 0.750, 0.500], [0.000, 0.000, 0.000]]}

# 12
{"formula": "NaUAgSe3", "functional": "PBE", "state": "optimized geometry", "formation_energy_uncorrected_ev_per_atom": -0.918, "sg": "P2_1/m", "lattice": [[4.163, 0.000, 0.000], [0.000, 7.876, -0.190], [0.000, -2.284, 9.646]], "species": ["U", "Na", "Se", "Se", "Ag", "Se", "Se", "Na", "U", "Ag", "Se", "Se"], "frac_coords": [[0.250, 0.686, 0.161], [0.250, 0.246, 0.300], [0.250, 0.571, 0.860], [0.250, 0.074, 0.853], [0.250, 0.084, 0.590], [0.750, 0.429, 0.140], [0.750, 0.284, 0.550], [0.750, 0.754, 0.700], [0.750, 0.314, 0.839], [0.750, 0.916, 0.410], [0.250, 0.716, 0.450], [0.750, 0.926, 0.147]]}